Version 1
## PrDy2Er (GGA-PBE)

Data for an optimized crystal structure of PrDy2Er.

Summary:
size of the total moment	0.00	μB/f.u.

Lattice parameters (Å, degrees): 5.0724 5.0744 6.1726 114.27 114.26 90.00
Positions (direct):
Pr: 0.2499 0.7499 0.4998
Dy: 0.0001 0.0001 0.0002
Dy: 0.7501 0.2501 0.5001
Er: 0.5000 0.5000 0.9999

Version 2
## PrDy2Er (GGA-PBE)

Data for an optimized crystal structure of PrDy2Er.

Summary:
size of the total moment	0.00	μB/f.u.

Lattice parameters (Å, degrees): 5.6985 5.6985 5.6985 60.00 60.00 60.00
Positions (direct):
Pr: 0.5000 0.5000 0.5000
Dy: 0.2500 0.2500 0.2500
Dy: 0.7500 0.7500 0.7500
Er: 0.0000 0.0000 0.0000

Least stable = version 2

Version 1
## Pr4DyEr5 (GGA-PBE)

Data for an optimized crystal structure of Pr4DyEr5.

Summary:
size of the total moment	0.00	μB/f.u.

Lattice parameters (Å, degrees): 5.9456 8.1455 8.1455 82.35 68.59 68.59
Positions (direct):
Pr: 0.4536 0.3230 0.6769
Pr: 0.7766 0.6769 0.6770
Pr: 0.1305 0.3231 0.3230
Pr: 0.4535 0.6770 0.3231
Dy: 0.2110 0.0000 0.0000
Er: 0.7606 0.3768 0.0000
Er: 0.1375 0.0000 0.6232
Er: 0.7606 0.0000 0.3768
Er: 0.1375 0.6232 0.0000
Er: 0.6890 0.0000 0.0000

Version 2
## Pr4DyEr5 (GGA-PBE)

Data for an optimized crystal structure of Pr4DyEr5.

Summary:
size of the total moment	0.00	μB/f.u.

Lattice parameters (Å, degrees): 3.5280 11.3519 8.7413 90.08 101.55 90.00
Positions (direct):
Pr: 0.6558 0.2499 0.3196
Pr: 0.9667 0.2506 0.9338
Pr: 0.3442 0.7501 0.6804
Pr: 0.0333 0.7494 0.0662
Dy: 0.5000 0.0000 0.0000
Er: 0.1717 0.5463 0.3454
Er: 0.1721 0.9524 0.3462
Er: 0.8279 0.0476 0.6538
Er: 0.5000 0.5000 0.0000
Er: 0.8283 0.4537 0.6546

Least stable = version 1

Version 1
## Pr3Dy2Er (GGA-PBE)

Data for an optimized crystal structure of Pr3Dy2Er.

Summary:
size of the total moment	0.00	μB/f.u.

Lattice parameters (Å, degrees): 3.4998 5.9837 10.4312 106.67 99.66 90.00
Positions (direct):
Pr: 0.0000 0.5000 0.0000
Pr: 0.8119 0.8119 0.6238
Pr: 0.1881 0.1881 0.3762
Dy: 0.6369 0.6369 0.2739
Dy: 0.3631 0.3631 0.7261
Er: 0.0000 0.0000 0.0000

Version 2
## Pr3Dy2Er (GGA-PBE)

Data for an optimized crystal structure of Pr3Dy2Er.

Summary:
size of the total moment	0.00	μB/f.u.

Lattice parameters (Å, degrees): 5.1664 10.1099 9.5791 121.85 105.64 90.00
Positions (direct):
Pr: 0.5000 0.2500 0.0000
Pr: 0.5000 0.7500 0.0000
Pr: 0.1665 0.4165 0.3331
Pr: 0.8335 0.0835 0.6669
Pr: 0.8335 0.5835 0.6669
Pr: 0.1665 0.9165 0.3331
Dy: 0.6664 0.6664 0.3329
Dy: 0.3336 0.8336 0.6671
Dy: 0.6664 0.1664 0.3329
Dy: 0.3336 0.3336 0.6671
Er: 0.0000 0.5000 0.0000
Er: 0.0000 0.0000 0.0000

Least stable = version 1

Version 1
## Pr2DyEr7 (GGA-PBE)

Data for an optimized crystal structure of Pr2DyEr7.

Summary:
size of the total moment	0.00	μB/f.u.

Lattice parameters (Å, degrees): 3.5057 14.7442 14.7442 154.66 90.00 90.00
Positions (direct):
Pr: 0.5000 0.7080 0.2920
Pr: 0.5000 0.2920 0.7080
Dy: 0.0000 0.0000 0.0000
Er: 0.0000 0.8166 0.1834
Er: 0.0000 0.1834 0.8166
Er: 0.5000 0.1484 0.3431
Er: 0.5000 0.8516 0.6569
Er: 0.5000 0.3431 0.1484
Er: 0.5000 0.6569 0.8516
Er: 0.5000 0.5000 0.5000

Version 2
## Pr2DyEr7 (GGA-PBE)

Data for an optimized crystal structure of Pr2DyEr7.

Summary:
size of the total moment	0.00	μB/f.u.

Lattice parameters (Å, degrees): 6.1403 7.9629 11.2517 135.14 56.70 121.18
Positions (direct):
Pr: 0.5000 0.8995 0.6015
Pr: 0.5000 0.1005 0.3985
Dy: 0.0000 0.0000 0.0000
Er: 0.0008 0.5981 0.3981
Er: 0.9992 0.4019 0.6019
Er: 0.4997 0.7020 0.8031
Er: 0.5003 0.2980 0.1969
Er: 0.0004 0.7985 0.1977
Er: 0.9996 0.2015 0.8023
Er: 0.5000 0.5000 0.0000

Least stable = version 1

Version 1
## PrDy5Er4 (GGA-PBE)

Data for an optimized crystal structure of PrDy5Er4.

Summary:
size of the total moment	0.00	μB/f.u.

Lattice parameters (Å, degrees): 3.5521 6.7544 14.3622 96.27 100.74 107.14
Positions (direct):
Pr: 0.5000 0.0000 0.0000
Dy: 0.9535 0.5732 0.3853
Dy: 0.2391 0.1187 0.4158
Dy: 0.7609 0.8813 0.5842
Dy: 0.5000 0.5000 0.0000
Dy: 0.0465 0.4268 0.6147
Er: 0.4143 0.8074 0.2166
Er: 0.8270 0.7310 0.8034
Er: 0.5857 0.1926 0.7834
Er: 0.1730 0.2690 0.1966

Version 2
## PrDy5Er4 (GGA-PBE)

Data for an optimized crystal structure of PrDy5Er4.

Summary:
size of the total moment	0.00	μB/f.u.

Lattice parameters (Å, degrees): 6.2975 7.8413 7.8413 80.72 66.32 66.32
Positions (direct):
Pr: 0.2219 0.0000 0.0000
Dy: 0.8046 0.3794 0.9099
Dy: 0.1840 0.9099 0.6206
Dy: 0.7145 0.0901 0.3794
Dy: 0.0939 0.6206 0.0901
Dy: 0.6779 0.0000 0.0000
Er: 0.4025 0.4005 0.7012
Er: 0.8030 0.7012 0.5995
Er: 0.1037 0.2988 0.4005
Er: 0.5042 0.5995 0.2988

Least stable = version 2

Version 1
## Pr7Dy3Er (GGA-PBE)

Data for an optimized crystal structure of Pr7Dy3Er.

Summary:
size of the total moment	0.00	μB/f.u.

Lattice parameters (Å, degrees): 5.9574 8.6308 8.6308 83.26 110.22 110.22
Positions (direct):
Pr: 0.2109 0.2094 0.2094
Pr: 0.3081 0.0192 0.5973
Pr: 0.6919 0.4027 0.9808
Pr: 0.3081 0.5973 0.0192
Pr: 0.0000 0.5000 0.5000
Pr: 0.6919 0.9808 0.4027
Pr: 0.7891 0.7906 0.7906
Dy: 0.0000 0.7950 0.2050
Dy: 0.5000 0.0000 0.0000
Dy: 0.0000 0.2050 0.7950
Er: 0.5000 0.5000 0.5000

Version 2
## Pr7Dy3Er (GGA-PBE)

Data for an optimized crystal structure of Pr7Dy3Er.

Summary:
size of the total moment	0.00	μB/f.u.

Lattice parameters (Å, degrees): 10.3864 10.3911 12.7538 115.13 64.87 139.36
Positions (direct):
Pr: 0.1619 0.8468 0.2275
Pr: 0.1534 0.8382 0.7275
Pr: 0.0897 0.4187 0.5225
Pr: 0.0848 0.4197 0.0278
Pr: 0.5807 0.9098 0.0225
Pr: 0.5798 0.9148 0.5279
Pr: 0.2981 0.2981 0.7500
Pr: 0.7019 0.7019 0.2500
Pr: 0.4193 0.0902 0.9775
Pr: 0.4202 0.0852 0.4721
Pr: 0.9152 0.5803 0.9722
Pr: 0.9103 0.5813 0.4775
Pr: 0.8466 0.1618 0.2725
Pr: 0.8381 0.1532 0.7725
Dy: 0.3249 0.6686 0.7732
Dy: 0.0000 0.0000 0.0000
Dy: 0.0000 0.0000 0.5000
Dy: 0.3313 0.6750 0.2732
Dy: 0.6687 0.3250 0.7268
Dy: 0.6751 0.3314 0.2268
Er: 0.5000 0.5000 0.0000
Er: 0.5000 0.5000 0.5000

Least stable = version 1

Version 1
## Pr8DyEr2 (GGA-PBE)

Data for an optimized crystal structure of Pr8DyEr2.

Summary:
size of the total moment	0.00	μB/f.u.

Lattice parameters (Å, degrees): 5.5186 8.6241 8.6241 104.93 90.10 90.10
Positions (direct):
Pr: 0.9994 0.9689 0.6998
Pr: 0.9994 0.6998 0.9689
Pr: 0.5000 0.6655 0.6655
Pr: 0.5000 0.2530 0.7470
Pr: 0.5000 0.7470 0.2530
Pr: 0.5000 0.3345 0.3345
Pr: 0.0006 0.3002 0.0311
Pr: 0.0006 0.0311 0.3002
Dy: 0.5000 0.0000 0.0000
Er: 0.0000 0.6190 0.3810
Er: 0.0000 0.3810 0.6190

Version 2
## Pr8DyEr2 (GGA-PBE)

Data for an optimized crystal structure of Pr8DyEr2.

Summary:
size of the total moment	0.00	μB/f.u.

Lattice parameters (Å, degrees): 6.0361 9.2194 9.5214 61.04 74.59 56.72
Positions (direct):
Pr: 0.8211 0.0975 0.2368
Pr: 0.8211 0.3343 0.7632
Pr: 0.2958 0.4210 0.0000
Pr: 0.5000 0.7943 0.4113
Pr: 0.5000 0.2057 0.5887
Pr: 0.7042 0.5790 0.0000
Pr: 0.1789 0.6657 0.2368
Pr: 0.1789 0.9025 0.7632
Dy: 0.5000 0.0000 0.0000
Er: 0.0000 0.3101 0.3799
Er: 0.0000 0.6899 0.6201

Least stable = version 1

Version 1
## Pr2Dy6Er (GGA-PBE)

Data for an optimized crystal structure of Pr2Dy6Er.

Summary:
size of the total moment	0.00	μB/f.u.

Lattice parameters (Å, degrees): 6.2133 11.8015 11.8015 96.62 60.73 60.73
Positions (direct):
Pr: 0.9999 0.6473 0.8530
Pr: 0.5001 0.1470 0.3527
Pr: 0.0001 0.3527 0.1470
Pr: 0.4999 0.8530 0.6473
Dy: 0.3208 0.6654 0.5127
Dy: 0.1792 0.4873 0.3346
Dy: 0.6792 0.3346 0.4873
Dy: 0.8208 0.5127 0.6654
Dy: 0.9752 0.9039 0.4038
Dy: 0.5248 0.5962 0.0961
Dy: 0.0248 0.0961 0.5962
Dy: 0.4752 0.4038 0.9039
Dy: 0.1795 0.8347 0.9873
Dy: 0.3204 0.0127 0.1653
Dy: 0.8204 0.1653 0.0127
Dy: 0.6796 0.9873 0.8347
Er: 0.2500 0.2500 0.7500
Er: 0.7500 0.7500 0.2500

Version 2
## Pr2Dy6Er (GGA-PBE)

Data for an optimized crystal structure of Pr2Dy6Er.

Summary:
size of the total moment	0.00	μB/f.u.

Lattice parameters (Å, degrees): 6.6010 9.6255 9.6255 96.34 80.55 80.55
Positions (direct):
Pr: 0.1251 0.6190 0.6704
Pr: 0.3749 0.3296 0.3810
Pr: 0.8749 0.3810 0.3296
Pr: 0.6251 0.6704 0.6190
Dy: 0.5043 0.6532 0.2757
Dy: 0.9957 0.7243 0.3468
Dy: 0.4957 0.3468 0.7243
Dy: 0.0043 0.2757 0.6532
Dy: 0.7294 0.0580 0.4612
Dy: 0.7706 0.5388 0.9420
Dy: 0.2706 0.9420 0.5388
Dy: 0.2294 0.4612 0.0580
Dy: 0.3147 0.7777 0.9608
Dy: 0.1853 0.0392 0.2223
Dy: 0.6853 0.2223 0.0392
Dy: 0.8147 0.9608 0.7777
Er: 0.2500 0.1166 0.8834
Er: 0.7500 0.8834 0.1166

Least stable = version 2